# Rb2ZrBAs

Crystalline Rb2ZrBAs at its relaxed geometry (GGA-PBEsol, the Alexandria database).

```
data_Rb2ZrBAs
_chemical_formula_sum 'Rb2 Zr1 B1 As1'
_cell_length_a 6.990
_cell_length_b 6.990
_cell_length_c 3.607
_cell_angle_alpha 90.00
_cell_angle_beta 90.00
_cell_angle_gamma 90.00
_symmetry_space_group_name_H-M 'P 4/m m m'
_symmetry_Int_Tables_number 123
_symmetry_space_group_name_Hall '-P 4 2'
loop_
_atom_site_label
_atom_site_type_symbol
_atom_site_fract_x
_atom_site_fract_y
_atom_site_fract_z
Rb1 Rb 0.000 0.500 0.000
Zr1 Zr 0.000 0.000 0.500
B1 B 0.500 0.500 0.500
As1 As 0.500 0.500 0.000
```

Results
- Density of states at the Fermi level: 6.12 states/eV per cell
- Energy of formation: 1.1990 eV per atom
- Final energy: -3.454 eV per atom
- M_tot: 3.8 μB/f.u.